Record 1
{"formula": "La3Rh", "functional": "PBE", "state": "relaxed", "lattice_angstrom": [[3.8088, 0.0000, 0.0000], [0.0000, 3.7636, 0.0000], [-0.9778, 0.0000, 8.5413]], "species": ["La", "La", "La", "Rh"], "fractional_positions": [[0.0000, 0.0000, 0.0000], [0.4207, 0.5000, 0.6888], [0.5793, 0.5000, 0.3112], [0.0000, 0.0000, 0.5000]], "magmom_total_mub_per_fu": 0.00, "formation_energy_ev_per_atom": -0.32}



Record 2
{"formula": "Ce3PuTh4S8", "functional": "PBE", "state": "relaxed", "lattice_angstrom": [[4.0254, 2.3241, 6.5546], [-4.0254, 2.3241, 6.5546], [0.0000, -4.6482, 6.5546]], "species": ["Ce", "Ce", "Ce", "Pu", "Th", "Th", "Th", "Th", "S", "S", "S", "S", "S", "S", "S", "S"], "fractional_positions": [[0.0000, 0.5000, 0.5000], [0.5000, 0.0000, 0.5000], [0.5000, 0.5000, 0.0000], [0.0000, 0.0000, 0.0000], [0.0000, 0.0000, 0.5000], [0.0000, 0.5000, 0.0000], [0.5000, 0.0000, 0.0000], [0.5000, 0.5000, 0.5000], [0.2467, 0.2467, 0.7512], [0.2467, 0.7512, 0.2467], [0.2488, 0.7533, 0.7533], [0.2510, 0.2510, 0.2510], [0.7490, 0.7490, 0.7490], [0.7512, 0.2467, 0.2467], [0.7533, 0.2488, 0.7533], [0.7533, 0.7533, 0.2488]], "magmom_total_mub_per_fu": 4.20, "raw_formation_energy_kj_per_mol_atoms": -185.2}



Record 3
{"formula": "OsRu2Cl", "functional": "PBE", "state": "relaxed", "lattice_angstrom": [[-2.8841, 2.8841, 4.9387], [2.8841, -2.8841, 4.9387], [2.8841, 2.8841, -4.9387]], "species": ["Os", "Os", "Ru", "Ru", "Ru", "Ru", "Cl", "Cl"], "fractional_positions": [[0.0000, 0.0000, 0.0000], [0.7500, 0.2500, 0.5000], [0.1172, 0.6250, 0.9922], [0.3750, 0.3672, 0.4922], [0.6328, 0.1250, 0.0078], [0.8750, 0.8828, 0.5078], [0.2500, 0.7500, 0.5000], [0.5000, 0.5000, 0.0000]], "magmom_total_mub_per_fu": 0.00, "raw_formation_energy_kj_per_mol_atoms": 97.3, "e_above_lowest_polymorph_mev_per_atom": 606.4}



Record 4
{"formula": "LaCoMo", "functional": "PBE", "state": "relaxed", "lattice_angstrom": [[5.8709, -2.0434, 0.0000], [5.8709, 2.0434, 0.0000], [-2.1796, 0.0000, 5.0634]], "species": ["La", "La", "Co", "Co", "Mo", "Mo"], "fractional_positions": [[0.1207, 0.1207, 0.2922], [0.8793, 0.8793, 0.7078], [0.2087, 0.2087, 0.8524], [0.7913, 0.7913, 0.1476], [0.4143, 0.4143, 0.2660], [0.5857, 0.5857, 0.7340]], "magmom_total_mub_per_fu": 0.00, "e_above_lowest_polymorph_mev_per_atom": 109.4, "formation_energy_ev_per_atom": 0.20}



Record 5
{"formula": "Ac2SnSe4", "functional": "PBE", "state": "relaxed", "lattice_angstrom": [[14.4822, 0.0000, 0.0000], [0.0000, 4.4845, 0.0000], [0.0000, 0.0000, 14.8993]], "species": ["Ac", "Ac", "Ac", "Ac", "Ac", "Ac", "Ac", "Ac", "Sn", "Sn", "Sn", "Sn", "Se", "Se", "Se", "Se", "Se", "Se", "Se", "Se", "Se", "Se", "Se", "Se", "Se", "Se", "Se", "Se"], "fractional_positions": [[0.1164, 0.2500, 0.0796], [0.1434, 0.2500, 0.7104], [0.3566, 0.7500, 0.2104], [0.3836, 0.7500, 0.5796], [0.6164, 0.2500, 0.4204], [0.6434, 0.2500, 0.7896], [0.8566, 0.7500, 0.2896], [0.8836, 0.7500, 0.9204], [0.1189, 0.7500, 0.4463], [0.3811, 0.2500, 0.9463], [0.6189, 0.7500, 0.0537], [0.8811, 0.2500, 0.5537], [0.0231, 0.7500, 0.6086], [0.0255, 0.2500, 0.8854], [0.2237, 0.2500, 0.2554], [0.2423, 0.2500, 0.5227], [0.2577, 0.7500, 0.0227], [0.2763, 0.7500, 0.7554], [0.4745, 0.7500, 0.3854], [0.4769, 0.2500, 0.1086], [0.5231, 0.7500, 0.8914], [0.5255, 0.2500, 0.6146], [0.7237, 0.2500, 0.2446], [0.7423, 0.2500, 0.9773], [0.7577, 0.7500, 0.4773], [0.7763, 0.7500, 0.7446], [0.9745, 0.7500, 0.1146], [0.9769, 0.2500, 0.3914]], "magmom_total_mub_per_fu": 0.00, "raw_formation_energy_kj_per_mol_atoms": -145.8, "e_above_lowest_polymorph_mev_per_atom": 0.0}



Record 6
{"formula": "Dy2RuPb", "functional": "PBE", "state": "relaxed", "lattice_angstrom": [[3.4381, 0.0000, 0.0000], [0.0000, 3.4381, 0.0000], [0.0000, 0.0000, 8.1803]], "species": ["Dy", "Dy", "Ru", "Pb"], "fractional_positions": [[0.0000, 0.0000, 0.2023], [0.0000, 0.0000, 0.7977], [0.5000, 0.5000, 0.0000], [0.5000, 0.5000, 0.5000]], "magmom_total_mub_per_fu": 0.00, "e_above_lowest_polymorph_mev_per_atom": 0.0, "formation_energy_ev_per_atom": -0.47}



Record 7
{"formula": "Li2SiI", "functional": "PBE", "state": "relaxed", "lattice_angstrom": [[0.0000, 3.4835, 3.4835], [3.4835, 0.0000, 3.4835], [3.4835, 3.4835, 0.0000]], "species": ["Li", "Li", "Si", "I"], "fractional_positions": [[0.2500, 0.2500, 0.2500], [0.7500, 0.7500, 0.7500], [0.0000, 0.0000, 0.0000], [0.5000, 0.5000, 0.5000]], "magmom_total_mub_per_fu": 0.00, "raw_formation_energy_kj_per_mol_atoms": 6.6, "e_above_lowest_polymorph_mev_per_atom": 196.5}



Record 8
{"formula": "MgAs2Au", "functional": "PBE", "state": "relaxed", "lattice_angstrom": [[0.0000, 3.3838, 3.3838], [3.3838, 0.0000, 3.3838], [3.3838, 3.3838, 0.0000]], "species": ["Mg", "As", "As", "Au"], "fractional_positions": [[0.0000, 0.0000, 0.0000], [0.2500, 0.2500, 0.2500], [0.5000, 0.5000, 0.5000], [0.7500, 0.7500, 0.7500]], "magmom_total_mub_per_fu": 0.00, "formation_energy_ev_per_atom": 0.05}